[1]
# Ta3MoAs, relaxed, DFT PBE
data_Ta3MoAs
_space_group_name_H-M_alt 'P m -3 m'
_space_group_IT_number 221
_space_group_name_Hall '-P 4 2 3'
_cell_length_a 4.840
_cell_length_b 4.840
_cell_length_c 4.840
_cell_angle_alpha 90.00
_cell_angle_beta 90.00
_cell_angle_gamma 90.00
loop_
_atom_site_label
_atom_site_fract_x
_atom_site_fract_y
_atom_site_fract_z
Ta1 0.000 0.000 0.500
Mo1 0.000 0.000 0.000
As1 0.500 0.500 0.500
# Energy above the most stable polymorph in this dataset, eV/atom: 0.302

***

[2]
A plane-wave DFT calculation with PBE was carried out for an optimized crystal structure of TaMoAs2.

The structure in CIF format:
```
data_TaMoAs2
_space_group_name_H-M_alt 'I m m 2'
_space_group_IT_number 44
_cell_length_a 3.141
_cell_length_b 4.360
_cell_length_c 9.939
_cell_angle_alpha 90.00
_cell_angle_beta 90.00
_cell_angle_gamma 90.00
loop_
_space_group_symop_operation_xyz
'x,y,z'
'-x,-y,z'
'-x,y,z'
'x,-y,z'
'x+1/2,y+1/2,z+1/2'
'-x+1/2,-y+1/2,z+1/2'
'-x+1/2,y+1/2,z+1/2'
'x+1/2,-y+1/2,z+1/2'
loop_
_atom_site_label
_atom_site_fract_x
_atom_site_fract_y
_atom_site_fract_z
Ta1 0.000 0.000 0.000
Mo1 0.000 0.500 0.222
As1 0.000 0.000 0.514
As2 0.000 0.500 0.726
```

***

[3]
A plane-wave DFT calculation with PBE was carried out for an optimized crystal structure of TaMoAs2.

The structure in CIF format:
```
data_TaMoAs2
_space_group_name_H-M_alt 'I -4 m 2'
_space_group_IT_number 119
_space_group_name_Hall 'I -4 -2'
_cell_length_a 4.087
_cell_length_b 4.087
_cell_length_c 7.987
_cell_angle_alpha 90.00
_cell_angle_beta 90.00
_cell_angle_gamma 90.00
loop_
_atom_site_label
_atom_site_fract_x
_atom_site_fract_y
_atom_site_fract_z
Ta1 0.000 0.000 0.000
Mo1 0.000 0.500 0.250
As1 0.000 0.000 0.500
As2 0.000 0.500 0.750
```

***

[4]
# Ta3MoAs, relaxed, DFT PBE
data_Ta3MoAs
_space_group_name_H-M_alt 'P m -3 m'
_space_group_IT_number 221
_space_group_name_Hall '-P 4 2 3'
_cell_length_a 4.673
_cell_length_b 4.673
_cell_length_c 4.673
_cell_angle_alpha 90.00
_cell_angle_beta 90.00
_cell_angle_gamma 90.00
loop_
_atom_site_label
_atom_site_fract_x
_atom_site_fract_y
_atom_site_fract_z
Ta1 0.000 0.000 0.500
Mo1 0.500 0.500 0.500
As1 0.000 0.000 0.000
# Energy above the most stable polymorph in this dataset, eV/atom: 0.000

***

The evaluated ΔH_f (0 K) for the records listed, in turn: 31.9; -0.4; 3.6; 24.9 kcal/mol of atoms.